Computed, not measured: CaSO2 after structural relaxation at the GGA-PBE level of DFT.

Its calculated total energy is -80.48 eV per cell. The value obtained for the density of states at the Fermi level is 0.0000 states/eV/atom.

It has space group I-42d (No. 122), with a = 4.431 Å, b = 4.431 Å, c = 12.515 Å, α = 90.00°, β = 90.00° and γ = 90.00°. Symmetry generates all atoms from Ca at (0.000, 0.000, 0.000), S at (0.000, 0.000, 0.500) and O at (0.196, 0.250, 0.625).


Computed, not measured: Ca2SO after structural relaxation at the GGA-PBE level of DFT.

The value obtained for the energy above the lowest structure with this stoichiometry is 0 kJ/mol of formula units. Its calculated total energy is -45.61 eV per cell. The value obtained for the density of states at the Fermi level is 0.0000 states/eV/atom.

It has space group P4/nmm (No. 129, origin choice 2), with a = 4.323 Å, b = 4.323 Å, c = 8.562 Å, α = 90.00°, β = 90.00° and γ = 90.00°. Symmetry generates all atoms from Ca at (0.250, 0.250, 0.152), Ca at (0.250, 0.750, 0.500), S at (0.250, 0.250, 0.821) and O at (0.250, 0.250, 0.413).


Computed, not measured: CaS2O after structural relaxation at the GGA-PBE level of DFT.

Its calculated total energy is -53.27 eV per cell. The value obtained for the density of states at the Fermi level is 0.0913 states/eV/atom.

It has space group R-3m (No. 166, hexagonal axes), with a = 4.4452 Å, b = 4.4452 Å, c = 17.5026 Å, α = 90.00°, β = 90.00° and γ = 120.00°. Symmetry generates all atoms from Ca at (0.0000, 0.0000, 0.0000), S at (0.0000, 0.0000, 0.4048) and O at (0.0000, 0.0000, 0.5000).


Computed, not measured: CaSO6 after structural relaxation at the GGA-PBE level of DFT.

The value obtained for the energy above the lowest structure with this stoichiometry is 366 kJ/mol of formula units. Its calculated total energy is -177.80 eV per cell. The value obtained for the density of states at the Fermi level is 0.2605 states/eV/atom.

It has space group C2/m (No. 12), with a = 8.836 Å, b = 14.652 Å, c = 6.318 Å, α = 90.00°, β = 123.78° and γ = 90.00°. Symmetry generates all atoms from Ca at (0.000, 0.222, 0.000), S at (0.000, 0.246, 0.500), O at (0.000, 0.042, 0.000), O at (0.000, 0.458, 0.000), O at (0.103, 0.188, 0.430) and O at (0.205, 0.289, 0.912).


Computed, not measured: CaS3O after structural relaxation at the GGA-PBE level of DFT.

The value obtained for the energy above the lowest structure with this stoichiometry is 0 kJ/mol of formula units. Its calculated total energy is -20.48 eV per cell. The value obtained for the density of states at the Fermi level is 0.4368 states/eV/atom.

It has space group Pm-3m (No. 221), with a = 4.356 Å, b = 4.356 Å, c = 4.356 Å, α = 90.00°, β = 90.00° and γ = 90.00°. Symmetry generates all atoms from Ca at (0.000, 0.000, 0.000), S at (0.000, 0.500, 0.500) and O at (0.500, 0.500, 0.500).


Computed, not measured: Ca2SO after structural relaxation at the GGA-PBE level of DFT.

The value obtained for the energy above the lowest structure with this stoichiometry is 1 kJ/mol of formula units. Its calculated total energy is -68.39 eV per cell. The value obtained for the density of states at the Fermi level is 0.0000 states/eV/atom.

It has space group R-3m (No. 166, hexagonal axes), with a = 3.7145 Å, b = 3.7145 Å, c = 18.4963 Å, α = 90.00°, β = 90.00° and γ = 120.00°. Symmetry generates all atoms from Ca at (0.0000, 0.0000, 0.2392), S at (0.0000, 0.0000, 0.0000) and O at (0.0000, 0.0000, 0.5000).


Computed, not measured: CaSO4 after structural relaxation at the GGA-PBE level of DFT.

Its calculated total energy is -156.10 eV per cell. The value obtained for the density of states at the Fermi level is 0.0000 states/eV/atom.

It has space group P2_1/c (No. 14), with a = 6.430 Å, b = 6.983 Å, c = 8.187 Å, α = 90.00°, β = 126.19° and γ = 90.00°. Symmetry generates all atoms from Ca at (0.190, 0.154, 0.283), S at (0.308, 0.660, 0.197), O at (0.131, 0.670, 0.621), O at (0.191, 0.510, 0.248), O at (0.334, 0.598, 0.036) and O at (0.426, 0.208, 0.126).


Computed, not measured: CaSO5 after structural relaxation at the GGA-PBE level of DFT.

Its calculated total energy is -155.50 eV per cell. The value obtained for the density of states at the Fermi level is 0.5136 states/eV/atom.

It has space group C2/c (No. 15), with a = 8.599 Å, b = 6.159 Å, c = 7.212 Å, α = 90.00°, β = 114.74° and γ = 90.00°. Symmetry generates all atoms from Ca at (0.000, 0.043, 0.250), S at (0.000, 0.500, 0.000), O at (0.000, 0.422, 0.250), O at (0.009, 0.247, 0.966) and O at (0.200, 0.488, 0.602).